Version P
CoCSe2Br: optimized geometry, GGA-PBE.

Properties
DOS at the Fermi energy = 5.85 states/eV per cell

Lattice parameters (Å, degrees): 4.3534 4.3534 4.7346 90.00 90.00 90.00
Space group P4/mmm (No. 123)
Asymmetric unit:
Co1 0.0000 0.0000 0.0000 x1
C1 0.5000 0.5000 0.5000 x1
Se1 0.0000 0.5000 0.5000 x2
Br1 0.5000 0.5000 0.0000 x1


Version Q
CoCSe2Br: optimized geometry, GGA-PBE.

Properties
DOS at the Fermi energy = 6.34 states/eV per cell

Lattice parameters (Å, degrees): 4.6009 4.6009 5.0078 90.00 90.00 90.00
Space group P4/mmm (No. 123)
Asymmetric unit:
Co1 0.0000 0.0000 0.0000 x1
C1 0.5000 0.5000 0.5000 x1
Se1 0.0000 0.5000 0.0000 x2
Br1 0.0000 0.0000 0.5000 x1


Relative to the most stable one, in meV per atom, the structures come out at version P 0; version Q 162.


Version P
CrCSeBr2: optimized geometry, GGA-PBE.

Properties
DOS at the Fermi energy = 6.90 states/eV per cell

Lattice parameters (Å, degrees): 5.0736 5.0736 4.5595 90.00 90.00 90.00
Space group P4/mmm (No. 123)
Asymmetric unit:
Cr1 0.0000 0.0000 0.0000 x1
C1 0.5000 0.5000 0.5000 x1
Se1 0.0000 0.0000 0.5000 x1
Br1 0.0000 0.5000 0.0000 x2


Version Q
CrCSeBr2: optimized geometry, GGA-PBE.

Properties
DOS at the Fermi energy = 3.22 states/eV per cell

Lattice parameters (Å, degrees): 4.8304 4.8304 4.3628 90.00 90.00 90.00
Space group P4/mmm (No. 123)
Asymmetric unit:
Cr1 0.0000 0.0000 0.0000 x1
C1 0.5000 0.5000 0.5000 x1
Se1 0.5000 0.5000 0.0000 x1
Br1 0.0000 0.5000 0.5000 x2


Relative to the most stable one, in meV per atom, the structures come out at version P 305; version Q 0.